one) BeCrW3: relaxed, GGA-PBE.

Results
As for the space group: Pm-3m (221).

Geometry as CIF:
```
data_BeCrW3
_chemical_formula_sum 'Be1 Cr1 W3'
_cell_length_a 4.199
_cell_length_b 4.199
_cell_length_c 4.199
_cell_angle_alpha 90.00
_cell_angle_beta 90.00
_cell_angle_gamma 90.00
_space_group_name_H-M_alt 'P 1'
_space_group_IT_number 1
loop_
_space_group_symop_operation_xyz
'x,y,z'
loop_
_atom_site_label
_atom_site_type_symbol
_atom_site_fract_x
_atom_site_fract_y
_atom_site_fract_z
Be1 Be 0.000 0.000 0.000
Cr1 Cr 0.500 0.500 0.500
W1 W 0.000 0.000 0.500
W2 W 0.000 0.500 0.000
W3 W 0.500 0.000 0.000
```

two) BeCrW3: relaxed, GGA-PBE.

Results
As for the space group: Pm-3m (221).

Geometry as CIF:
```
data_BeCrW3
_chemical_formula_sum 'Be1 Cr1 W3'
_cell_length_a 4.472
_cell_length_b 4.472
_cell_length_c 4.472
_cell_angle_alpha 90.00
_cell_angle_beta 90.00
_cell_angle_gamma 90.00
_space_group_name_H-M_alt 'P 1'
_space_group_IT_number 1
loop_
_space_group_symop_operation_xyz
'x,y,z'
loop_
_atom_site_label
_atom_site_type_symbol
_atom_site_fract_x
_atom_site_fract_y
_atom_site_fract_z
Be1 Be 0.000 0.000 0.000
Cr1 Cr 0.500 0.500 0.500
W1 W 0.000 0.500 0.500
W2 W 0.500 0.000 0.500
W3 W 0.500 0.500 0.000
```

How far above the most stable structure does each one sit? In meV/atom: one) 0; two) 750.